No. 1
A relaxed K4SeF crystal. Source: the Alexandria database, functional GGA-PBE.

Geometry as extended XYZ:
```
12
Lattice="8.2053 0.0000 0.0000 0.0000 7.6891 0.0000 -2.5075 0.0000 7.4772" Properties=species:S:1:pos:R:3 pbc="T T T"
K 0.0000 1.7616 0.0000
K 0.0000 5.9275 0.0000
K 1.2741 1.7649 3.6701
K 1.2741 5.9242 3.6701
K 4.1027 2.0830 0.0000
K 4.1027 5.6062 0.0000
K 5.3768 2.0797 3.6701
K 5.3768 5.6095 3.6701
Se -0.6164 3.8446 5.5696
Se 3.4862 0.0000 5.5696
F 0.5839 0.0000 1.8607
F 4.6865 3.8446 1.8607
```

## Properties
The uncorrected formation energy comes out at -1.31 eV/atom. The space group is Cm (8). As for the final energy: -2.94 eV/atom. Its total moment is 0.0 μB per cell.



No. 2
A relaxed CrSb2TeSe crystal. Source: the Alexandria database, functional GGA-PBE.

Geometry as extended XYZ:
```
5
Lattice="5.3572 0.0000 0.0000 0.0000 5.3572 0.0000 0.0000 0.0000 5.3195" Properties=species:S:1:pos:R:3 pbc="T T T"
Cr 0.0000 0.0000 0.0000
Sb 0.0000 2.6786 2.6597
Sb 2.6786 0.0000 2.6597
Te 2.6786 2.6786 0.0000
Se 2.6786 2.6786 2.6597
```

## Properties
The uncorrected formation energy comes out at 1.34 eV/atom. The space group is P4/mmm (123). As for the final energy: -3.56 eV/atom. Its total moment is 0.5 μB per cell.



No. 3
A relaxed CoSe2BrN crystal. Source: the Alexandria database, functional GGA-PBE.

Geometry as extended XYZ:
```
5
Lattice="5.2764 0.0000 0.0000 0.0000 5.2764 0.0000 0.0000 0.0000 3.6514" Properties=species:S:1:pos:R:3 pbc="T T T"
Co 0.0000 0.0000 0.0000
Se 0.0000 2.6382 1.8257
Se 2.6382 0.0000 1.8257
Br 2.6382 2.6382 1.8257
N 2.6382 2.6382 0.0000
```

## Properties
The uncorrected formation energy comes out at 1.78 eV/atom. The space group is P4/mmm (123). As for the final energy: -3.04 eV/atom. Its total moment is 2.5 μB per cell.



No. 4
A relaxed KLi2AgBr4 crystal. Source: the Alexandria database, functional GGA-PBE.

Geometry as extended XYZ:
```
16
Lattice="6.4179 0.0000 0.0000 0.0000 6.4179 0.0000 0.0000 0.0000 12.4432" Properties=species:S:1:pos:R:3 pbc="T T T"
K 0.0000 0.0000 0.0000
K 3.2089 3.2089 6.2216
Li 0.0000 3.2089 3.1108
Li 0.0000 3.2089 9.3324
Li 3.2089 0.0000 3.1108
Li 3.2089 0.0000 9.3324
Ag 0.0000 0.0000 6.2216
Ag 3.2089 3.2089 0.0000
Br 1.4144 1.4144 4.3537
Br 1.4144 5.0034 8.0894
Br 1.7945 1.7945 10.5753
Br 1.7945 4.6234 1.8679
Br 4.6234 1.7945 1.8679
Br 4.6234 4.6234 10.5753
Br 5.0034 1.4144 8.0894
Br 5.0034 5.0034 4.3537
```

## Properties
The uncorrected formation energy comes out at -1.25 eV/atom. The space group is I-42m (121). As for the final energy: -3.06 eV/atom. Its total moment is 0.0 μB per cell.



No. 5
A relaxed BeSiRu2 crystal. Source: the Alexandria database, functional GGA-PBE.

Geometry as extended XYZ:
```
16
Lattice="5.7326 0.0000 0.0000 0.0000 5.7326 0.0000 0.0000 0.0000 5.7326" Properties=species:S:1:pos:R:3 pbc="T T T"
Be 0.0000 0.0000 0.0000
Be 0.0000 2.8663 2.8663
Be 2.8663 0.0000 2.8663
Be 2.8663 2.8663 0.0000
Si 0.0000 0.0000 2.8663
Si 0.0000 2.8663 0.0000
Si 2.8663 0.0000 0.0000
Si 2.8663 2.8663 2.8663
Ru 1.4331 1.4331 1.4331
Ru 1.4331 1.4331 4.2994
Ru 1.4331 4.2994 1.4331
Ru 1.4331 4.2994 4.2994
Ru 4.2994 1.4331 1.4331
Ru 4.2994 1.4331 4.2994
Ru 4.2994 4.2994 1.4331
Ru 4.2994 4.2994 4.2994
```

## Properties
The uncorrected formation energy comes out at -0.56 eV/atom. The space group is Fm-3m (225). As for the final energy: -7.48 eV/atom. Its total moment is 0.0 μB per cell.